[1]
A plane-wave DFT calculation with PBE was carried out for a geometry-optimized Ac2IrPb structure.

```
Ac2IrPb
1.0
-2.9270 0.7151 3.4305
-4.7533 -2.3636 -3.5630
4.0242 -7.0706 4.9075
Pb Ac Ir
2 4 2
direct
0.2500 0.3516 0.5289 Pb
0.7500 0.6484 0.4711 Pb
0.2500 0.9895 0.7482 Ac
0.2500 0.4334 0.1482 Ac
0.7500 0.5666 0.8518 Ac
0.7500 0.0105 0.2518 Ac
0.2500 0.8408 0.0373 Ir
0.7500 0.1592 0.9627 Ir
```

Summary:
- Magnetic moment: 0.00 μB/f.u.
- Density of states at the Fermi level: 5.16 states/eV per cell
- DFT formation energy: -0.61 eV per atom

=====

[2]
A plane-wave DFT calculation with PBE was carried out for a geometry-optimized SrPuPd2 structure.

```
SrPuPd2
1.0
-3.3334 -1.2365 0.6106
-0.3337 -0.8266 -3.4955
2.7522 -6.7599 1.3357
Pd Pu Sr
2 1 1
direct
0.0000 0.0000 0.7860 Pd
0.0000 0.0000 0.2140 Pd
0.5000 0.5000 0.0000 Pu
0.5000 0.5000 0.5000 Sr
```

Summary:
- Magnetic moment: 5.48 μB/f.u.
- Density of states at the Fermi level: 14.56 states/eV per cell
- Offset from the most stable computed form: 0 meV per atom
- DFT formation energy: -0.47 eV per atom

=====

[3]
A plane-wave DFT calculation with PBE was carried out for a geometry-optimized CoOsRh2 structure.

```
CoOsRh2
1.0
5.2397 0.0000 0.0000
0.0000 5.2397 0.0000
2.6199 2.6199 5.6221
Rh Co Os
4 2 2
direct
0.3750 0.3922 0.7500 Rh
0.6078 0.1250 0.2500 Rh
0.1422 0.6250 0.2500 Rh
0.8750 0.8578 0.7500 Rh
0.5000 0.5000 0.0000 Co
0.2500 0.7500 0.5000 Co
0.0000 0.0000 0.0000 Os
0.7500 0.2500 0.5000 Os
```

Summary:
- Magnetic moment: 0.00 μB/f.u.
- Density of states at the Fermi level: 10.09 states/eV per cell
- Offset from the most stable computed form: 1118 meV per atom
- DFT formation energy: 1.20 eV per atom